No. 1
Entry from Alexandria via LeMat-Bulk: a relaxed structure of SmNiI2 (GGA-PBE).

Computed properties:
Uncorrected formation energy ... -72.7 meV/atom
Space-group type ... R-3m
Mass density ... 6.18 g cm⁻³
DOS(E_F) ... 4.41 states/eV/cell

Cell lengths 3.956, 3.956, 9.457 Å; angles 77.93, 77.93, 60.00 degrees
Fractional positions:
I  0.112  0.112  0.665
I  0.888  0.888  0.335
Ni  0.500  0.500  0.500
Sm  0.000  0.000  0.000

***

No. 2
Entry from Alexandria via LeMat-Bulk: a relaxed structure of Sm2NiI (GGA-PBE).

Computed properties:
Uncorrected formation energy ... -669.1 meV/atom
Space-group type ... R-3m
Excess energy over the best structure of this formula in the dataset ... 0 meV/atom
Mass density ... 6.98 g cm⁻³
DOS(E_F) ... 2.67 states/eV/cell

Cell lengths 4.090, 4.090, 8.327 Å; angles 75.78, 75.78, 60.02 degrees
Fractional positions:
Sm  0.273  0.273  0.181
Sm  0.727  0.727  0.819
Ni  0.000  0.000  0.000
I  0.500  0.500  0.500

***

No. 3
Entry from Alexandria via LeMat-Bulk: a relaxed structure of Sm5Ni2I2 (GGA-PBE).

Computed properties:
Uncorrected formation energy ... -521.3 meV/atom
Space-group type ... Cmce
Mass density ... 7.33 g cm⁻³
DOS(E_F) ... 15.49 states/eV/cell

Cell lengths 7.918, 7.874, 9.066 Å; angles 90.00, 64.11, 90.00 degrees
Fractional positions:
Sm  0.000  0.000  0.000
Sm  0.500  0.500  0.000
Sm  0.454  0.156  0.782
Sm  0.764  0.844  0.782
Sm  0.264  0.656  0.782
Sm  0.954  0.344  0.782
Sm  0.546  0.844  0.218
Sm  0.236  0.156  0.218
Sm  0.736  0.344  0.218
Sm  0.046  0.656  0.218
Ni  0.132  0.368  0.000
Ni  0.868  0.632  0.000
Ni  0.368  0.868  0.000
Ni  0.632  0.132  0.000
I  0.208  0.000  0.584
I  0.708  0.500  0.584
I  0.792  0.000  0.416
I  0.292  0.500  0.416

***

No. 4
Entry from Alexandria via LeMat-Bulk: a relaxed structure of TbSmNiI (GGA-PBE).

Computed properties:
Uncorrected formation energy ... -666.6 meV/atom
Space-group type ... R3m
Mass density ... 7.27 g cm⁻³
DOS(E_F) ... 2.58 states/eV/cell

Cell lengths 4.057, 4.057, 8.267 Å; angles 90.01, 104.21, 119.99 degrees
Fractional positions:
Tb  0.090  0.943  0.048
Sm  0.517  0.156  0.688
Ni  0.306  0.551  0.872
I  0.965  0.381  0.361

***

No. 5
Entry from Alexandria via LeMat-Bulk: a relaxed structure of SmThNiI (GGA-PBE).

Computed properties:
Uncorrected formation energy ... -584.3 meV/atom
Space-group type ... P1
Mass density ... 8.02 g cm⁻³
DOS(E_F) ... 2.99 states/eV/cell

Cell lengths 4.052, 4.053, 8.324 Å; angles 91.33, 104.59, 115.83 degrees
Fractional positions:
Sm  0.512  0.156  0.684
Th  0.091  0.936  0.044
Ni  0.309  0.550  0.875
I  0.965  0.389  0.367

***

No. 6
Entry from Alexandria via LeMat-Bulk: a relaxed structure of NiSnI2 (GGA-PBE).

Computed properties:
Uncorrected formation energy ... 160.0 meV/atom
Space-group type ... I-42d
Excess energy over the best structure of this formula in the dataset ... 68 meV/atom
Mass density ... 5.33 g cm⁻³
DOS(E_F) ... 0.95 states/eV/cell

Cell lengths 7.023, 7.023, 7.374 Å; angles 61.57, 61.57, 90.00 degrees
Fractional positions:
I  0.546  0.125  0.250
I  0.204  0.625  0.250
I  0.375  0.454  0.750
I  0.875  0.796  0.750
Ni  0.500  0.500  0.000
Ni  0.250  0.750  0.500
Sn  0.000  0.000  0.000
Sn  0.750  0.250  0.500

***

No. 7
Entry from Alexandria via LeMat-Bulk: a relaxed structure of NiSnI2 (GGA-PBE).

Computed properties:
Uncorrected formation energy ... 458.0 meV/atom
Space-group type ... Fm-3m
Excess energy over the best structure of this formula in the dataset ... 366 meV/atom
Mass density ... 6.63 g cm⁻³
DOS(E_F) ... 14.56 states/eV/cell

Cell lengths 5.345, 5.345, 5.345 Å; angles 60.00, 60.00, 60.00 degrees
Fractional positions:
I  0.250  0.250  0.250
I  0.750  0.750  0.750
Ni  0.000  0.000  0.000
Sn  0.500  0.500  0.500

***

No. 8
Entry from Alexandria via LeMat-Bulk: a relaxed structure of Ni2SnI (GGA-PBE).

Computed properties:
Uncorrected formation energy ... 474.0 meV/atom
Space-group type ... Fm-3m
Excess energy over the best structure of this formula in the dataset ... 176 meV/atom
Mass density ... 8.17 g cm⁻³
DOS(E_F) ... 1.70 states/eV/cell

Cell lengths 4.708, 4.708, 4.708 Å; angles 60.00, 60.00, 60.00 degrees
Fractional positions:
I  0.500  0.500  0.500
Ni  0.250  0.250  0.250
Ni  0.750  0.750  0.750
Sn  0.000  0.000  0.000